No. 1
# Ca2ZrC, single point on PBEsol structure, DFT meta-GGA SCAN
data_Ca2ZrC
_chemical_formula_sum 'Ca4 Zr2 C2'
_cell_length_a 4.414
_cell_length_b 7.097
_cell_length_c 7.097
_cell_angle_alpha 84.45
_cell_angle_beta 71.88
_cell_angle_gamma 71.88
_space_group_name_H-M_alt 'P 1'
_space_group_IT_number 1
loop_
_space_group_symop_operation_xyz
'x,y,z'
loop_
_atom_site_label
_atom_site_fract_x
_atom_site_fract_y
_atom_site_fract_z
Zr1 0.750 0.500 0.500
Ca1 0.278 0.347 0.847
Ca2 0.875 0.847 0.653
Ca3 0.375 0.153 0.347
Zr2 0.000 0.000 0.000
C1 0.250 0.500 0.500
C2 0.500 0.000 0.000
Ca4 0.472 0.653 0.153
# DFT formation energy ... 0.372 eV/atom
# Magnetization ... 0.0 μB/f.u.



No. 2
# KCdOs2, single point on PBEsol structure, DFT meta-GGA SCAN
data_KCdOs2
_chemical_formula_sum 'K1 Cd1 Os2'
_cell_length_a 2.753
_cell_length_b 4.809
_cell_length_c 6.055
_cell_angle_alpha 113.06
_cell_angle_beta 103.14
_cell_angle_gamma 90.00
_space_group_name_H-M_alt 'P 1'
_space_group_IT_number 1
loop_
_space_group_symop_operation_xyz
'x,y,z'
loop_
_atom_site_label
_atom_site_fract_x
_atom_site_fract_y
_atom_site_fract_z
K1 0.000 0.500 0.000
Os1 0.775 0.777 0.550
Os2 0.225 0.223 0.450
Cd1 0.500 0.000 0.000
# DFT formation energy ... 1.099 eV/atom
# Magnetization ... 0.0 μB/f.u.



No. 3
# InHPd3, single point on PBEsol structure, DFT meta-GGA SCAN
data_InHPd3
_chemical_formula_sum 'In1 H1 Pd3'
_cell_length_a 4.900
_cell_length_b 4.900
_cell_length_c 4.900
_cell_angle_alpha 90.00
_cell_angle_beta 90.00
_cell_angle_gamma 90.00
_space_group_name_H-M_alt 'P 1'
_space_group_IT_number 1
loop_
_space_group_symop_operation_xyz
'x,y,z'
loop_
_atom_site_label
_atom_site_fract_x
_atom_site_fract_y
_atom_site_fract_z
Pd1 0.000 0.500 0.000
H1 0.500 0.500 0.500
Pd2 0.000 0.000 0.500
In1 0.000 0.000 0.000
Pd3 0.500 0.000 0.000
# Magnetization ... 0.0 μB/f.u.
# Offset from the most stable computed form ... 1725 meV per atom



No. 4
# CaZrRh2, single point on PBEsol structure, DFT meta-GGA SCAN
data_CaZrRh2
_chemical_formula_sum 'Ca1 Zr1 Rh2'
_cell_length_a 3.226
_cell_length_b 3.226
_cell_length_c 7.021
_cell_angle_alpha 90.00
_cell_angle_beta 90.00
_cell_angle_gamma 90.00
_space_group_name_H-M_alt 'P 1'
_space_group_IT_number 1
loop_
_space_group_symop_operation_xyz
'x,y,z'
loop_
_atom_site_label
_atom_site_fract_x
_atom_site_fract_y
_atom_site_fract_z
Zr1 0.500 0.500 0.000
Rh1 0.000 0.000 0.216
Ca1 0.500 0.500 0.500
Rh2 0.000 0.000 0.784
# DFT formation energy ... -0.790 eV/atom
# Magnetization ... 0.0 μB/f.u.



No. 5
# Sb2TeSeBr, single point on PBEsol structure, DFT meta-GGA SCAN
data_Sb2TeSeBr
_chemical_formula_sum 'Sb2 Te1 Se1 Br1'
_cell_length_a 5.308
_cell_length_b 5.508
_cell_length_c 5.508
_cell_angle_alpha 90.00
_cell_angle_beta 90.00
_cell_angle_gamma 90.00
_space_group_name_H-M_alt 'P 1'
_space_group_IT_number 1
loop_
_space_group_symop_operation_xyz
'x,y,z'
loop_
_atom_site_label
_atom_site_fract_x
_atom_site_fract_y
_atom_site_fract_z
Se1 0.500 0.500 0.500
Br1 0.000 0.000 0.000
Sb1 0.000 0.500 0.000
Sb2 0.000 0.000 0.500
Te1 0.500 0.000 0.000
# Magnetization ... 0.0 μB/f.u.
# Formation energy (no corrections) ... 1.190 eV per atom



No. 6
# InHPdO2, single point on PBEsol structure, DFT meta-GGA SCAN
data_InHPdO2
_chemical_formula_sum 'In1 H1 Pd1 O2'
_cell_length_a 3.277
_cell_length_b 4.127
_cell_length_c 4.127
_cell_angle_alpha 90.00
_cell_angle_beta 90.00
_cell_angle_gamma 90.00
_space_group_name_H-M_alt 'P 1'
_space_group_IT_number 1
loop_
_space_group_symop_operation_xyz
'x,y,z'
loop_
_atom_site_label
_atom_site_fract_x
_atom_site_fract_y
_atom_site_fract_z
In1 0.500 0.500 0.500
O1 0.000 0.500 0.000
H1 0.500 0.000 0.000
Pd1 0.000 0.000 0.000
O2 0.000 0.000 0.500
# Total energy ... -16.785 eV/atom
# Magnetization ... 0.0 μB/f.u.